# LaAuBr4

LaAuBr4 after structural relaxation (PBE, Alexandria via LeMat-Bulk).

CIF file:
```
data_LaAuBr4
_chemical_formula_sum 'La2 Au2 Br8'
_symmetry_space_group_name_H-M 'P 1'
_symmetry_Int_Tables_number 1
_symmetry_space_group_name_Hall 'P 1'
_cell_length_a 10.652
_cell_length_b 10.652
_cell_length_c 7.320
_cell_angle_alpha 101.74
_cell_angle_beta 101.74
_cell_angle_gamma 133.71
loop_
_atom_site_label
_atom_site_fract_x
_atom_site_fract_y
_atom_site_fract_z
La1 0.191 0.809 0.750
La2 0.809 0.191 0.250
Au1 0.417 0.583 0.250
Au2 0.583 0.417 0.750
Br1 0.028 0.438 0.721
Br2 0.114 0.257 0.184
Br3 0.257 0.114 0.684
Br4 0.438 0.028 0.221
Br5 0.562 0.972 0.779
Br6 0.743 0.886 0.316
Br7 0.886 0.743 0.816
Br8 0.972 0.562 0.279
```

- E above lowest polymorph: 0 meV per atom
- Energy relative to the elements, uncorrected: -7.85 eV/f.u.
- Space-group type: C2/c, No. 15
- V: 42.8 Å³/atom



# KPmSiS4

KPmSiS4 after structural relaxation (PBE, Alexandria via LeMat-Bulk).

CIF file:
```
data_KPmSiS4
_chemical_formula_sum 'K2 Pm2 Si2 S8'
_symmetry_space_group_name_H-M 'P 1'
_symmetry_Int_Tables_number 1
_symmetry_space_group_name_Hall 'P 1'
_cell_length_a 6.528
_cell_length_b 6.626
_cell_length_c 8.783
_cell_angle_alpha 90.00
_cell_angle_beta 107.01
_cell_angle_gamma 90.00
loop_
_atom_site_label
_atom_site_fract_x
_atom_site_fract_y
_atom_site_fract_z
K1 0.228 0.250 0.434
K2 0.772 0.750 0.566
Pm1 0.271 0.250 0.949
Pm2 0.729 0.750 0.051
Si1 0.279 0.750 0.177
Si2 0.721 0.250 0.823
S1 0.083 0.750 0.331
S2 0.093 0.750 0.933
S3 0.495 0.000 0.216
S4 0.495 0.500 0.216
S5 0.505 0.000 0.784
S6 0.505 0.500 0.784
S7 0.907 0.250 0.067
S8 0.917 0.250 0.669
```

- Energy relative to the elements, uncorrected: -10.01 eV/f.u.
- Space-group type: P2_1/m, No. 11
- V: 25.9 Å³/atom



# SrLi

SrLi after structural relaxation (PBE, Alexandria via LeMat-Bulk).

CIF file:
```
data_SrLi
_chemical_formula_sum 'Sr4 Li4'
_symmetry_space_group_name_H-M 'P 1'
_symmetry_Int_Tables_number 1
_symmetry_space_group_name_Hall 'P 1'
_cell_length_a 8.560
_cell_length_b 8.560
_cell_length_c 8.560
_cell_angle_alpha 109.47
_cell_angle_beta 109.47
_cell_angle_gamma 109.47
loop_
_atom_site_label
_atom_site_fract_x
_atom_site_fract_y
_atom_site_fract_z
Sr1 0.000 0.000 0.421
Sr2 0.000 0.421 0.000
Sr3 0.421 0.000 0.000
Sr4 0.579 0.579 0.579
Li1 0.000 0.000 0.803
Li2 0.000 0.803 0.000
Li3 0.197 0.197 0.197
Li4 0.803 0.000 0.000
```

- E above lowest polymorph: 461 meV per atom
- Space-group type: I-43m, No. 217
- V: 60.3 Å³/atom



# TbMg2Tl2

TbMg2Tl2 after structural relaxation (PBE, Alexandria via LeMat-Bulk).

CIF file:
```
data_TbMg2Tl2
_chemical_formula_sum 'Tb2 Mg4 Tl4'
_symmetry_space_group_name_H-M 'P 1'
_symmetry_Int_Tables_number 1
_symmetry_space_group_name_Hall 'P 1'
_cell_length_a 5.042
_cell_length_b 5.042
_cell_length_c 13.086
_cell_angle_alpha 90.00
_cell_angle_beta 90.00
_cell_angle_gamma 120.00
loop_
_atom_site_label
_atom_site_fract_x
_atom_site_fract_y
_atom_site_fract_z
Tb1 0.000 0.000 0.250
Tb2 0.000 0.000 0.750
Mg1 0.000 0.000 0.000
Mg2 0.000 0.000 0.500
Mg3 0.333 0.667 0.250
Mg4 0.667 0.333 0.750
Tl1 0.333 0.667 0.619
Tl2 0.333 0.667 0.881
Tl3 0.667 0.333 0.119
Tl4 0.667 0.333 0.381
```

- E above lowest polymorph: 343 meV per atom
- Space-group type: P6_3/mmc, No. 194
- V: 28.8 Å³/atom



# PuAlZn4

PuAlZn4 after structural relaxation (PBE, Alexandria via LeMat-Bulk).

CIF file:
```
data_PuAlZn4
_chemical_formula_sum 'Pu1 Al1 Zn4'
_symmetry_space_group_name_H-M 'P 1'
_symmetry_Int_Tables_number 1
_symmetry_space_group_name_Hall 'P 1'
_cell_length_a 5.344
_cell_length_b 5.344
_cell_length_c 5.344
_cell_angle_alpha 60.00
_cell_angle_beta 60.00
_cell_angle_gamma 60.00
loop_
_atom_site_label
_atom_site_fract_x
_atom_site_fract_y
_atom_site_fract_z
Pu1 0.000 0.000 0.000
Al1 0.250 0.250 0.250
Zn1 0.125 0.625 0.625
Zn2 0.625 0.125 0.625
Zn3 0.625 0.625 0.125
Zn4 0.625 0.625 0.625
```

- E above lowest polymorph: 26 meV per atom
- Space-group type: F-43m, No. 216
- V: 18.0 Å³/atom



# Ce2Cd

Ce2Cd after structural relaxation (PBE, Alexandria via LeMat-Bulk).

CIF file:
```
data_Ce2Cd
_chemical_formula_sum 'Ce4 Cd2'
_symmetry_space_group_name_H-M 'P 1'
_symmetry_Int_Tables_number 1
_symmetry_space_group_name_Hall 'P 1'
_cell_length_a 6.124
_cell_length_b 6.124
_cell_length_c 6.124
_cell_angle_alpha 60.00
_cell_angle_beta 60.00
_cell_angle_gamma 60.00
loop_
_atom_site_label
_atom_site_fract_x
_atom_site_fract_y
_atom_site_fract_z
Ce1 0.000 0.000 0.000
Ce2 0.000 0.000 0.500
Ce3 0.000 0.500 0.000
Ce4 0.500 0.000 0.000
Cd1 0.375 0.375 0.375
Cd2 0.625 0.625 0.625
```

- E: -24.522 eV for the cell shown
- Space-group type: Fd-3m, No. 227
- V: 27.1 Å³/atom



# La15Dy4Tm

La15Dy4Tm after structural relaxation (PBE, Alexandria via LeMat-Bulk).

CIF file:
```
data_La15Dy4Tm
_chemical_formula_sum 'La15 Dy4 Tm1'
_symmetry_space_group_name_H-M 'P 1'
_symmetry_Int_Tables_number 1
_symmetry_space_group_name_Hall 'P 1'
_cell_length_a 5.204
_cell_length_b 5.204
_cell_length_c 26.025
_cell_angle_alpha 90.00
_cell_angle_beta 90.00
_cell_angle_gamma 90.00
loop_
_atom_site_label
_atom_site_fract_x
_atom_site_fract_y
_atom_site_fract_z
La1 0.000 0.000 0.000
La2 0.000 0.000 0.200
La3 0.000 0.000 0.400
La4 0.000 0.000 0.600
La5 0.000 0.000 0.800
La6 0.000 0.500 0.100
La7 0.000 0.500 0.300
La8 0.000 0.500 0.500
La9 0.000 0.500 0.700
La10 0.000 0.500 0.900
La11 0.500 0.000 0.100
La12 0.500 0.000 0.300
La13 0.500 0.000 0.500
La14 0.500 0.000 0.700
La15 0.500 0.000 0.900
Dy1 0.500 0.500 0.200
Dy2 0.500 0.500 0.400
Dy3 0.500 0.500 0.600
Dy4 0.500 0.500 0.800
Tm1 0.500 0.500 0.000
```

- E: -96.636 eV for the cell shown
- Space-group type: P4/mmm, No. 123
- V: 35.2 Å³/atom



# Ca2SbS

Ca2SbS after structural relaxation (PBE, Alexandria via LeMat-Bulk).

CIF file:
```
data_Ca2SbS
_chemical_formula_sum 'Ca2 Sb1 S1'
_symmetry_space_group_name_H-M 'P 1'
_symmetry_Int_Tables_number 1
_symmetry_space_group_name_Hall 'P 1'
_cell_length_a 8.035
_cell_length_b 8.035
_cell_length_c 8.035
_cell_angle_alpha 29.18
_cell_angle_beta 29.18
_cell_angle_gamma 29.18
loop_
_atom_site_label
_atom_site_fract_x
_atom_site_fract_y
_atom_site_fract_z
Ca1 0.238 0.238 0.238
Ca2 0.762 0.762 0.762
Sb1 0.000 0.000 0.000
S1 0.500 0.500 0.500
```

- E above lowest polymorph: 0 meV per atom
- Energy relative to the elements, uncorrected: -5.77 eV/f.u.
- Space-group type: R-3m, No. 166
- V: 27.3 Å³/atom



# TaCo2Ni

TaCo2Ni after structural relaxation (PBE, Alexandria via LeMat-Bulk).

CIF file:
```
data_TaCo2Ni
_chemical_formula_sum 'Ta1 Co2 Ni1'
_symmetry_space_group_name_H-M 'P 1'
_symmetry_Int_Tables_number 1
_symmetry_space_group_name_Hall 'P 1'
_cell_length_a 4.118
_cell_length_b 4.118
_cell_length_c 4.118
_cell_angle_alpha 60.00
_cell_angle_beta 60.00
_cell_angle_gamma 60.00
loop_
_atom_site_label
_atom_site_fract_x
_atom_site_fract_y
_atom_site_fract_z
Ta1 0.000 0.000 0.000
Co1 0.250 0.250 0.250
Co2 0.750 0.750 0.750
Ni1 0.500 0.500 0.500
```

- E above lowest polymorph: 184 meV per atom
- Space-group type: Fm-3m, No. 225
- V: 12.3 Å³/atom



# SnB6

SnB6 after structural relaxation (PBE, Alexandria via LeMat-Bulk).

CIF file:
```
data_SnB6
_chemical_formula_sum 'Sn1 B6'
_symmetry_space_group_name_H-M 'P 1'
_symmetry_Int_Tables_number 1
_symmetry_space_group_name_Hall 'P 1'
_cell_length_a 4.202
_cell_length_b 4.202
_cell_length_c 4.202
_cell_angle_alpha 90.00
_cell_angle_beta 90.00
_cell_angle_gamma 90.00
loop_
_atom_site_label
_atom_site_fract_x
_atom_site_fract_y
_atom_site_fract_z
Sn1 0.000 0.000 0.000
B1 0.202 0.500 0.500
B2 0.500 0.202 0.500
B3 0.500 0.500 0.202
B4 0.500 0.500 0.798
B5 0.500 0.798 0.500
B6 0.798 0.500 0.500
```

- E: -42.840 eV for the cell shown
- Space-group type: Pm-3m, No. 221
- V: 10.6 Å³/atom



# AcCe2PrS4

AcCe2PrS4 after structural relaxation (PBE, Alexandria via LeMat-Bulk).

CIF file:
```
data_AcCe2PrS4
_chemical_formula_sum 'Ac1 Ce2 Pr1 S4'
_symmetry_space_group_name_H-M 'P 1'
_symmetry_Int_Tables_number 1
_symmetry_space_group_name_Hall 'P 1'
_cell_length_a 7.137
_cell_length_b 4.110
_cell_length_c 7.160
_cell_angle_alpha 90.00
_cell_angle_beta 109.32
_cell_angle_gamma 90.00
loop_
_atom_site_label
_atom_site_fract_x
_atom_site_fract_y
_atom_site_fract_z
Ac1 0.000 0.000 0.000
Ce1 0.000 0.500 0.500
Ce2 0.500 0.000 0.500
Pr1 0.500 0.500 0.000
S1 0.252 0.000 0.740
S2 0.261 0.500 0.264
S3 0.739 0.500 0.736
S4 0.748 0.000 0.260
```

- Energy relative to the elements, uncorrected: -16.11 eV/f.u.
- Space-group type: P2/m, No. 10
- V: 24.8 Å³/atom



# BaSbTe2S

BaSbTe2S after structural relaxation (PBE, Alexandria via LeMat-Bulk).

CIF file:
```
data_BaSbTe2S
_chemical_formula_sum 'Ba1 Sb1 Te2 S1'
_symmetry_space_group_name_H-M 'P 1'
_symmetry_Int_Tables_number 1
_symmetry_space_group_name_Hall 'P 1'
_cell_length_a 5.466
_cell_length_b 5.466
_cell_length_c 5.374
_cell_angle_alpha 90.00
_cell_angle_beta 90.00
_cell_angle_gamma 90.00
loop_
_atom_site_label
_atom_site_fract_x
_atom_site_fract_y
_atom_site_fract_z
Ba1 0.000 0.000 0.000
Sb1 0.500 0.500 0.000
Te1 0.000 0.500 0.500
Te2 0.500 0.000 0.500
S1 0.500 0.500 0.500
```

- E above lowest polymorph: 0 meV per atom
- Energy relative to the elements, uncorrected: -1.94 eV/f.u.
- Space-group type: P4/mmm, No. 123
- V: 32.1 Å³/atom



# Y5Hg6

Y5Hg6 after structural relaxation (PBE, Alexandria via LeMat-Bulk).

CIF file:
```
data_Y5Hg6
_chemical_formula_sum 'Y5 Hg6'
_symmetry_space_group_name_H-M 'P 1'
_symmetry_Int_Tables_number 1
_symmetry_space_group_name_Hall 'P 1'
_cell_length_a 9.026
_cell_length_b 9.026
_cell_length_c 5.159
_cell_angle_alpha 106.00
_cell_angle_beta 106.00
_cell_angle_gamma 48.97
loop_
_atom_site_label
_atom_site_fract_x
_atom_site_fract_y
_atom_site_fract_z
Y1 0.000 0.000 0.000
Y2 0.173 0.173 0.674
Y3 0.351 0.351 0.347
Y4 0.649 0.649 0.653
Y5 0.827 0.827 0.326
Hg1 0.082 0.585 0.831
Hg2 0.233 0.767 0.500
Hg3 0.415 0.918 0.169
Hg4 0.585 0.082 0.831
Hg5 0.767 0.233 0.500
Hg6 0.918 0.415 0.169
```

- E: -38.643 eV for the cell shown
- Space-group type: C2/m, No. 12
- V: 27.5 Å³/atom



# MnAu4

MnAu4 after structural relaxation (PBE, Alexandria via LeMat-Bulk).

CIF file:
```
data_MnAu4
_chemical_formula_sum 'Mn2 Au8'
_symmetry_space_group_name_H-M 'P 1'
_symmetry_Int_Tables_number 1
_symmetry_space_group_name_Hall 'P 1'
_cell_length_a 5.596
_cell_length_b 7.001
_cell_length_c 5.023
_cell_angle_alpha 90.00
_cell_angle_beta 90.00
_cell_angle_gamma 90.00
loop_
_atom_site_label
_atom_site_fract_x
_atom_site_fract_y
_atom_site_fract_z
Mn1 0.000 0.000 0.000
Mn2 0.500 0.000 0.500
Au1 0.000 0.333 0.258
Au2 0.000 0.667 0.742
Au3 0.250 0.279 0.750
Au4 0.250 0.721 0.250
Au5 0.500 0.333 0.242
Au6 0.500 0.667 0.758
Au7 0.750 0.279 0.750
Au8 0.750 0.721 0.250
```

- E above lowest polymorph: 199 meV per atom
- Space-group type: Pmna, No. 53
- V: 19.7 Å³/atom